No. 1
An optimized crystal structure of TbPm2Ho. Source: Alexandria, functional PBE.

The value obtained for the energy above the most stable polymorph in this dataset is 4.8 meV per atom. The total DFT energy (no corrections) comes out at -4.660 eV per atom.

abc: 3.598 3.598 10.160
angles: 90.00 90.00 90.00
Fractional coordinates of all 4 atoms:
Ho 0.500 0.500 0.000
Pm 0.000 0.000 0.249
Pm 0.000 0.000 0.751
Tb 0.500 0.500 0.500

No. 2
An optimized crystal structure of ErSc2TaN4. Source: Alexandria, functional PBE.

The total DFT energy (no corrections) comes out at -9.477 eV per atom. The calculation puts the raw formation energy at -1296 kJ/mol of formula units.

abc: 3.212 5.606 5.560
angles: 109.22 90.00 90.00
Fractional coordinates of all 8 atoms:
N 0.000 0.232 0.748
N 0.000 0.768 0.252
N 0.500 0.764 0.754
N 0.500 0.236 0.246
Ta 0.000 0.000 0.000
Sc 0.000 0.500 0.500
Sc 0.500 0.000 0.500
Er 0.500 0.500 0.000

Number 1 is which compound?
TbPm2Ho

Look up the total DFT energy (no corrections) of the second one.
-9.477 eV per atom

Look up the total DFT energy (no corrections) of the second one.
-9.477 eV per atom

The lowest total DFT energy (no corrections) belongs to which entry?
ErSc2TaN4